A relaxed structure of CrPt2W, computed with PBE.

a b c (Å): 9.1408 9.1408 9.1408
angles (deg): 17.38 17.38 17.38
Closest atoms and distances in Å follow each position.
Positions (direct):
Cr1 0.7500 0.7500 0.7500  6 Pt 2.68, 6 Cr 2.76
Pt1 0.4965 0.4965 0.4965  3 Cr 2.68, 6 Pt 2.76, 3 W 2.84
Pt2 0.0035 0.0035 0.0035  3 Cr 2.68, 6 Pt 2.76, 3 W 2.84
W1 0.2500 0.2500 0.2500  6 W 2.76, 6 Pt 2.84

Properties
**Formation energy from the elements**: -0.08 eV per formula unit
**DOS at the Fermi energy**: 3.12 states/eV/cell
**E above lowest polymorph**: 182.0 meV/atom
**Calculated total energy**: -34.74 eV/f.u.